Compound: K2FeF5
Source: Alexandria
Functional: PBE with a Hubbard U
Structure: relaxed

Output
E (eV/atom): -4.832
Density of states at the Fermi level (states/eV per cell): 0.00

Cell: 4.0801 13.1895 11.5822 Å, 90.00 90.00 90.00°
Space group Cmcm (No. 63)
Inequivalent atoms, fractional coordinates:
K 0.0000 0.1373 0.0705 [8 per cell]
Fe 0.0000 0.1512 0.7500 [4 per cell]
F 0.0000 0.0492 0.6315 [8 per cell]
F 0.0000 0.2556 0.6285 [8 per cell]
F 0.0000 0.3376 0.2500 [4 per cell]